Entry 1:
# NaNiB

NaNiB after structural relaxation (PBE-GGA, Alexandria).

a = 5.717 Å, b = 5.717 Å, c = 3.542 Å
α = 107.26°, β = 107.26°, γ = 118.61°
Fractional coordinates of all 6 atoms:
1 Na 0.227 0.773 0.000
2 Na 0.773 0.227 0.000
3 Ni 0.463 0.463 0.153
4 Ni 0.959 0.959 0.509
5 B 0.286 0.286 0.477
6 B 0.659 0.659 0.829

Output
Its calculated formation energy is 85.1 meV per atom.

***

Entry 2:
# Ti5Si2C

Ti5Si2C after structural relaxation (PBE-GGA, Alexandria).

a = 6.875 Å, b = 6.875 Å, c = 9.882 Å
α = 90.00°, β = 90.00°, γ = 142.50°
Fractional coordinates of all 16 atoms:
1 Ti 0.073 0.927 0.610
2 Ti 0.073 0.927 0.890
3 Ti 0.287 0.713 0.568
4 Ti 0.287 0.713 0.932
5 Ti 0.304 0.696 0.250
6 Ti 0.696 0.304 0.750
7 Ti 0.713 0.287 0.068
8 Ti 0.713 0.287 0.432
9 Ti 0.927 0.073 0.110
10 Ti 0.927 0.073 0.390
11 Si 0.130 0.870 0.128
12 Si 0.130 0.870 0.372
13 Si 0.870 0.130 0.628
14 Si 0.870 0.130 0.872
15 C 0.189 0.811 0.750
16 C 0.811 0.189 0.250

Output
As for the uncorrected formation energy: -10.2 kJ/mol of atoms.

***

Entry 3:
# Ti7Sb2N2

Ti7Sb2N2 after structural relaxation (PBE-GGA, Alexandria).

a = 5.892 Å, b = 5.892 Å, c = 5.602 Å
α = 93.96°, β = 93.96°, γ = 67.23°
Fractional coordinates of all 11 atoms:
1 Ti 0.000 0.000 0.000
2 Ti 0.058 0.508 0.780
3 Ti 0.426 0.426 0.167
4 Ti 0.492 0.942 0.220
5 Ti 0.508 0.058 0.780
6 Ti 0.574 0.574 0.833
7 Ti 0.942 0.492 0.220
8 Sb 0.216 0.784 0.500
9 Sb 0.784 0.216 0.500
10 N 0.220 0.220 0.020
11 N 0.780 0.780 0.980

Output
As for the uncorrected formation energy: -59.2 kJ/mol of atoms.

***

Entry 4:
# AcPrGeH

AcPrGeH after structural relaxation (PBE-GGA, Alexandria).

a = 5.181 Å, b = 5.181 Å, c = 5.181 Å
α = 60.00°, β = 60.00°, γ = 60.00°
Fractional coordinates of all 4 atoms:
1 Ac 0.000 0.000 0.000
2 Pr 0.500 0.500 0.500
3 Ge 0.750 0.750 0.750
4 H 0.250 0.250 0.250

***

Entry 5:
# MnTlSi

MnTlSi after structural relaxation (PBE-GGA, Alexandria).

a = 5.491 Å, b = 5.491 Å, c = 5.491 Å
α = 146.68°, β = 146.68°, γ = 47.84°
Fractional coordinates of all 3 atoms:
1 Mn 0.000 0.000 0.000
2 Tl 0.708 0.708 0.000
3 Si 0.424 0.424 0.000

Output
As for the uncorrected formation energy: 35.8 kJ/mol of atoms.

***

Entry 6:
# CdTc2Pt2

CdTc2Pt2 after structural relaxation (PBE-GGA, Alexandria).

a = 7.859 Å, b = 7.859 Å, c = 2.721 Å
α = 90.00°, β = 90.00°, γ = 90.00°
Fractional coordinates of all 10 atoms:
1 Cd 0.000 0.000 0.000
2 Cd 0.500 0.500 0.000
3 Tc 0.176 0.324 0.500
4 Tc 0.324 0.824 0.500
5 Tc 0.676 0.176 0.500
6 Tc 0.824 0.676 0.500
7 Pt 0.121 0.621 0.000
8 Pt 0.379 0.121 0.000
9 Pt 0.621 0.879 0.000
10 Pt 0.879 0.379 0.000

Output
Its calculated formation energy is 178.0 meV per atom.

***

Entry 7:
# ScCoC2

ScCoC2 after structural relaxation (PBE-GGA, Alexandria).

a = 3.793 Å, b = 3.793 Å, c = 3.793 Å
α = 60.00°, β = 60.00°, γ = 60.00°
Fractional coordinates of all 4 atoms:
1 Sc 0.000 0.000 0.000
2 Co 0.500 0.500 0.500
3 C 0.250 0.250 0.250
4 C 0.750 0.750 0.750

Output
Its calculated formation energy is 722.0 meV per atom.

***

Entry 8:
# Na12Tl3Ag

Na12Tl3Ag after structural relaxation (PBE-GGA, Alexandria).

a = 4.936 Å, b = 4.936 Å, c = 19.660 Å
α = 90.00°, β = 90.00°, γ = 90.00°
Fractional coordinates of all 16 atoms:
1 Na 0.000 0.000 0.000
2 Na 0.000 0.000 0.244
3 Na 0.000 0.000 0.500
4 Na 0.000 0.000 0.756
5 Na 0.000 0.500 0.115
6 Na 0.000 0.500 0.373
7 Na 0.000 0.500 0.627
8 Na 0.000 0.500 0.885
9 Na 0.500 0.000 0.115
10 Na 0.500 0.000 0.373
11 Na 0.500 0.000 0.627
12 Na 0.500 0.000 0.885
13 Tl 0.500 0.500 0.246
14 Tl 0.500 0.500 0.500
15 Tl 0.500 0.500 0.754
16 Ag 0.500 0.500 0.000

Output
Its calculated formation energy is -47.3 meV per atom.

***

Entry 9:
# Ac2Zn6RuRh

Ac2Zn6RuRh after structural relaxation (PBE-GGA, Alexandria).

a = 6.694 Å, b = 6.694 Å, c = 6.718 Å
α = 119.23°, β = 119.23°, γ = 60.65°
Fractional coordinates of all 10 atoms:
1 Ac 0.196 0.196 0.303
2 Ac 0.804 0.804 0.697
3 Zn 0.249 0.249 0.844
4 Zn 0.250 0.656 0.251
5 Zn 0.344 0.750 0.749
6 Zn 0.656 0.250 0.251
7 Zn 0.750 0.344 0.749
8 Zn 0.751 0.751 0.156
9 Ru 0.000 0.000 0.500
10 Rh 0.500 0.500 0.000

Output
Its calculated formation energy is -281.3 meV per atom.

***

Entry 10:
# TcTe3I

TcTe3I after structural relaxation (PBE-GGA, Alexandria).

a = 5.793 Å, b = 5.793 Å, c = 5.793 Å
α = 90.00°, β = 90.00°, γ = 90.00°
Fractional coordinates of all 5 atoms:
1 Tc 0.000 0.000 0.000
2 Te 0.000 0.500 0.500
3 Te 0.500 0.000 0.500
4 Te 0.500 0.500 0.000
5 I 0.500 0.500 0.500

Output
As for the uncorrected formation energy: 148.5 kJ/mol of atoms.

***

Entry 11:
# HoAgTeSe

HoAgTeSe after structural relaxation (PBE-GGA, Alexandria).

a = 12.154 Å, b = 12.154 Å, c = 12.154 Å
α = 21.89°, β = 21.89°, γ = 21.89°
Fractional coordinates of all 8 atoms:
1 Ho 0.113 0.113 0.113
2 Ho 0.887 0.887 0.887
3 Ag 0.310 0.310 0.310
4 Ag 0.690 0.690 0.690
5 Te 0.391 0.391 0.391
6 Te 0.609 0.609 0.609
7 Se 0.196 0.196 0.196
8 Se 0.804 0.804 0.804

Output
As for the uncorrected formation energy: -100.2 kJ/mol of atoms.

***

Entry 12:
# K4TlHg3

K4TlHg3 after structural relaxation (PBE-GGA, Alexandria).

a = 4.880 Å, b = 5.159 Å, c = 12.954 Å
α = 90.00°, β = 90.00°, γ = 90.00°
Fractional coordinates of all 8 atoms:
1 K 0.000 0.000 0.000
2 K 0.000 0.500 0.291
3 K 0.500 0.000 0.492
4 K 0.500 0.500 0.795
5 Tl 0.000 0.000 0.706
6 Hg 0.000 0.500 0.578
7 Hg 0.500 0.000 0.210
8 Hg 0.500 0.500 0.081

Output
Its calculated formation energy is -196.2 meV per atom.

***

Entry 13:
# Li3Y3TiTe8

Li3Y3TiTe8 after structural relaxation (PBE-GGA, Alexandria).

a = 8.624 Å, b = 8.624 Å, c = 8.624 Å
α = 59.28°, β = 59.28°, γ = 59.28°
Fractional coordinates of all 15 atoms:
1 Li 0.000 0.500 0.500
2 Li 0.500 0.000 0.500
3 Li 0.500 0.500 0.000
4 Y 0.000 0.000 0.500
5 Y 0.000 0.500 0.000
6 Y 0.500 0.000 0.000
7 Ti 0.500 0.500 0.500
8 Te 0.253 0.253 0.253
9 Te 0.265 0.265 0.729
10 Te 0.265 0.729 0.265
11 Te 0.271 0.735 0.735
12 Te 0.729 0.265 0.265
13 Te 0.735 0.271 0.735
14 Te 0.735 0.735 0.271
15 Te 0.747 0.747 0.747

Output
As for the uncorrected formation energy: -110.4 kJ/mol of atoms.

***

Entry 14:
# Ba2IrPt

Ba2IrPt after structural relaxation (PBE-GGA, Alexandria).

a = 3.964 Å, b = 3.977 Å, c = 7.136 Å
α = 90.00°, β = 90.00°, γ = 90.00°
Fractional coordinates of all 4 atoms:
1 Ba 0.000 0.000 0.249
2 Ba 0.000 0.000 0.751
3 Ir 0.500 0.500 0.000
4 Pt 0.500 0.500 0.500

Output
Its calculated formation energy is -74.5 meV per atom.

***

Entry 15:
# ErRu2W

ErRu2W after structural relaxation (PBE-GGA, Alexandria).

a = 4.640 Å, b = 4.640 Å, c = 3.116 Å
α = 90.00°, β = 90.00°, γ = 90.00°
Fractional coordinates of all 4 atoms:
1 Er 0.000 0.000 0.000
2 Ru 0.000 0.500 0.500
3 Ru 0.500 0.000 0.500
4 W 0.500 0.500 0.000

Output
Its calculated formation energy is -37.1 meV per atom.

***

Entry 16:
# Li2TaPt

Li2TaPt after structural relaxation (PBE-GGA, Alexandria).

a = 5.263 Å, b = 5.263 Å, c = 2.718 Å
α = 90.00°, β = 90.00°, γ = 121.47°
Fractional coordinates of all 4 atoms:
1 Li 0.000 0.500 0.000
2 Li 0.500 0.000 0.000
3 Ta 0.000 0.000 0.500
4 Pt 0.500 0.500 0.500

Output
Its calculated formation energy is 14.3 meV per atom.

***

Entry 17:
# Sm3Dy12Er

Sm3Dy12Er after structural relaxation (PBE-GGA, Alexandria).

a = 5.028 Å, b = 5.028 Å, c = 20.103 Å
α = 90.00°, β = 90.00°, γ = 90.00°
Fractional coordinates of all 16 atoms:
1 Sm 0.000 0.000 0.000
2 Sm 0.000 0.000 0.251
3 Sm 0.000 0.000 0.749
4 Dy 0.000 0.500 0.126
5 Dy 0.000 0.500 0.376
6 Dy 0.000 0.500 0.624
7 Dy 0.000 0.500 0.874
8 Dy 0.500 0.000 0.126
9 Dy 0.500 0.000 0.376
10 Dy 0.500 0.000 0.624
11 Dy 0.500 0.000 0.874
12 Dy 0.500 0.500 0.000
13 Dy 0.500 0.500 0.251
14 Dy 0.500 0.500 0.500
15 Dy 0.500 0.500 0.749
16 Er 0.000 0.000 0.500

Output
Its calculated formation energy is 18.7 meV per atom.

***

Entry 18:
# Tl3IrC

Tl3IrC after structural relaxation (PBE-GGA, Alexandria).

a = 4.759 Å, b = 4.759 Å, c = 4.759 Å
α = 90.00°, β = 90.00°, γ = 90.00°
Fractional coordinates of all 5 atoms:
1 Tl 0.000 0.000 0.500
2 Tl 0.000 0.500 0.000
3 Tl 0.500 0.000 0.000
4 Ir 0.500 0.500 0.500
5 C 0.000 0.000 0.000

Output
Its calculated formation energy is 1464.9 meV per atom.

***

Entry 19:
# MnVGa2Pt

MnVGa2Pt after structural relaxation (PBE-GGA, Alexandria).

a = 4.700 Å, b = 4.700 Å, c = 4.121 Å
α = 90.00°, β = 90.00°, γ = 90.00°
Fractional coordinates of all 5 atoms:
1 Mn 0.000 0.000 0.000
2 V 0.000 0.000 0.500
3 Ga 0.000 0.500 0.500
4 Ga 0.500 0.000 0.500
5 Pt 0.500 0.500 0.000

Output
Its calculated formation energy is 745.4 meV per atom.

***

Entry 20:
# PrSm2Ni2

PrSm2Ni2 after structural relaxation (PBE-GGA, Alexandria).

a = 7.572 Å, b = 7.572 Å, c = 3.796 Å
α = 90.00°, β = 90.00°, γ = 145.93°
Fractional coordinates of all 5 atoms:
1 Pr 0.000 0.000 0.000
2 Sm 0.347 0.653 0.500
3 Sm 0.653 0.347 0.500
4 Ni 0.201 0.799 0.000
5 Ni 0.799 0.201 0.000

Output
Its calculated formation energy is -255.7 meV per atom.

***

Taking the records one at a time from the top gives M_tot values of 0.0; 2.3; 0.0; 0.0; 0.0; 0.0; 0.0; 0.0; 0.0; 4.7; 0.0; 0.0; 0.0; 0.2; 0.0; 0.0; 0.0; 0.0; 1.8; 0.0 Bohr magnetons per cell.
Taking the records one at a time from the top gives electronic total energy values of -4.51; -7.55; -7.90; -4.61; -5.28; -6.57; -7.25; -1.66; -3.53; -2.73; -4.55; -1.15; -5.02; -4.76; -9.05; -5.42; -4.60; -3.57; -5.33; -5.41 eV/atom.